Entry 1:
{"formula": "PrCuSnS3", "functional": "PBE", "state": "relaxed", "lattice_angstrom": [[13.156, 0.000, 0.000], [0.000, 3.962, 0.000], [0.000, 0.000, 10.897]], "species": ["Pr", "Pr", "Pr", "Pr", "Cu", "Cu", "Cu", "Cu", "Sn", "Sn", "Sn", "Sn", "S", "S", "S", "S", "S", "S", "S", "S", "S", "S", "S", "S"], "fractional_positions": [[0.012, 0.250, 0.173], [0.488, 0.750, 0.673], [0.512, 0.250, 0.327], [0.988, 0.750, 0.827], [0.006, 0.750, 0.416], [0.494, 0.250, 0.916], [0.506, 0.750, 0.084], [0.994, 0.250, 0.584], [0.215, 0.250, 0.457], [0.285, 0.750, 0.957], [0.715, 0.250, 0.043], [0.785, 0.750, 0.543], [0.101, 0.750, 0.606], [0.114, 0.250, 0.940], [0.141, 0.750, 0.275], [0.359, 0.250, 0.775], [0.386, 0.750, 0.440], [0.399, 0.250, 0.106], [0.601, 0.750, 0.894], [0.614, 0.250, 0.560], [0.641, 0.750, 0.225], [0.859, 0.250, 0.725], [0.886, 0.750, 0.060], [0.899, 0.250, 0.394]], "total_energy_ev_per_atom": -5.1300, "vol_a3_per_atom": 23.7, "crystal_system": "orthorhombic"}


Entry 2:
{"formula": "PrCuSnS3", "functional": "PBE", "state": "relaxed", "lattice_angstrom": [[11.120, 0.000, 0.000], [0.000, 4.114, 0.000], [0.000, 0.000, 11.405]], "species": ["Pr", "Pr", "Pr", "Pr", "Cu", "Cu", "Cu", "Cu", "Sn", "Sn", "Sn", "Sn", "S", "S", "S", "S", "S", "S", "S", "S", "S", "S", "S", "S"], "fractional_positions": [[0.014, 0.250, 0.180], [0.486, 0.750, 0.680], [0.514, 0.250, 0.320], [0.986, 0.750, 0.820], [0.246, 0.750, 0.293], [0.254, 0.250, 0.793], [0.746, 0.750, 0.207], [0.754, 0.250, 0.707], [0.172, 0.250, 0.512], [0.328, 0.750, 0.012], [0.672, 0.250, 0.988], [0.828, 0.750, 0.488], [0.047, 0.750, 0.364], [0.110, 0.250, 0.940], [0.223, 0.750, 0.692], [0.277, 0.250, 0.192], [0.390, 0.750, 0.440], [0.453, 0.250, 0.864], [0.547, 0.750, 0.136], [0.610, 0.250, 0.560], [0.723, 0.750, 0.808], [0.777, 0.250, 0.308], [0.890, 0.750, 0.060], [0.953, 0.250, 0.636]], "total_energy_ev_per_atom": -5.1772, "vol_a3_per_atom": 21.7, "crystal_system": "orthorhombic"}